[1]
# RbCuIBr2

A relaxed structure of RbCuIBr2 (PBE, Alexandria via LeMat-Bulk).

a b c (Å): 5.285 5.285 5.487
angles (deg): 90.00 90.00 90.00
Positions (direct):
I  0.000  0.000  0.500
Rb  0.500  0.500  0.500
Br  0.000  0.500  0.000
Br  0.500  0.000  0.000
Cu  0.000  0.000  0.000

Computed properties:
- Calculated volume: 30.649 A^3/atom
- Space group: P4/mmm, No. 123
- E: -2.75 eV/atom

---

[2]
# CsCaTa6Cl18

A relaxed structure of CsCaTa6Cl18 (PBE, Alexandria via LeMat-Bulk).

a b c (Å): 9.458 9.458 17.505
angles (deg): 90.00 90.00 120.00
Positions (direct):
Cl  0.587  0.730  0.500
Cl  0.042  0.228  0.840
Cl  0.564  0.642  0.158
Cl  0.078  0.436  0.158
Cl  0.814  0.772  0.340
Cl  0.436  0.358  0.842
Cl  0.958  0.772  0.160
Cl  0.958  0.186  0.340
Cl  0.078  0.642  0.342
Cl  0.413  0.143  0.000
Cl  0.642  0.078  0.842
Cl  0.730  0.143  0.500
Cl  0.922  0.358  0.658
Cl  0.270  0.857  0.500
Cl  0.772  0.814  0.840
Cl  0.143  0.413  0.500
Cl  0.642  0.564  0.658
Cl  0.228  0.186  0.160
Cl  0.186  0.958  0.840
Cl  0.436  0.078  0.658
Cl  0.358  0.922  0.158
Cl  0.270  0.413  0.000
Cl  0.413  0.270  0.500
Cl  0.042  0.814  0.660
Cl  0.922  0.564  0.842
Cl  0.587  0.857  0.000
Cl  0.186  0.228  0.660
Cl  0.358  0.436  0.342
Cl  0.814  0.042  0.160
Cl  0.730  0.587  0.000
Cl  0.857  0.270  0.000
Cl  0.143  0.730  0.000
Cl  0.564  0.922  0.342
Cl  0.857  0.587  0.500
Cl  0.228  0.042  0.340
Cl  0.772  0.958  0.660
Ca  0.667  0.333  0.750
Ca  0.333  0.667  0.250
Cs  0.333  0.667  0.750
Cs  0.667  0.333  0.250
Ta  0.195  0.158  0.931
Ta  0.037  0.842  0.431
Ta  0.963  0.805  0.931
Ta  0.195  0.037  0.569
Ta  0.805  0.963  0.431
Ta  0.037  0.195  0.069
Ta  0.805  0.842  0.069
Ta  0.158  0.963  0.069
Ta  0.963  0.158  0.569
Ta  0.842  0.805  0.569
Ta  0.158  0.195  0.431
Ta  0.842  0.037  0.931

Computed properties:
- Calculated volume: 26.078 A^3/atom
- Space group: P-31c, No. 163
- E: -5.60 eV/atom

---

[3]
# Tb2TmP3

A relaxed structure of Tb2TmP3 (PBE, Alexandria via LeMat-Bulk).

a b c (Å): 6.931 6.931 6.931
angles (deg): 99.59 99.59 119.99
Positions (direct):
P  0.251  0.248  0.753
P  0.079  0.413  0.246
P  0.416  0.085  0.247
P  0.915  0.584  0.753
P  0.752  0.749  0.247
P  0.587  0.921  0.754
Tm  0.666  0.334  0.000
Tm  0.000  0.000  0.000
Tb  0.167  0.833  0.500
Tb  0.833  0.167  0.500
Tb  0.333  0.667  0.000
Tb  0.499  0.501  0.500

Computed properties:
- Calculated volume: 22.662 A^3/atom
- Space group: C2/m, No. 12
- E: -6.60 eV/atom
- E_form: -1.608 eV per atom

---

[4]
# Cu2TeRh

A relaxed structure of Cu2TeRh (PBE, Alexandria via LeMat-Bulk).

a b c (Å): 4.572 3.147 4.541
angles (deg): 90.99 90.00 90.00
Positions (direct):
Rh  0.500  0.250  0.250
Cu  0.000  0.956  0.024
Cu  0.000  0.544  0.476
Te  0.500  0.750  0.750

Computed properties:
- Calculated volume: 16.335 A^3/atom
- Space group: P2/m, No. 10
- E: -4.49 eV/atom